(1)
First-principles (PBE) data for a relaxed structure of Er6Tm3Mg, as listed in Alexandria.

Energy of formation from the pure elements (eV per atom): 0.0226
Relative energy among the computed polymorphs (eV/f.u.): 0.00

abc: 10.9646 4.9334 11.0149
angles: 90.00 90.24 90.00
Space group P2_1/m (No. 11)
Unique sites:
1 Er 0.0490 0.2500 0.4003 x2
2 Er 0.1491 0.7500 0.1964 x2
3 Er 0.1504 0.2500 0.6982 x2
4 Er 0.2478 0.2500 0.9991 x2
5 Er 0.3486 0.7500 0.8000 x2
6 Er 0.4492 0.2500 0.6020 x2
7 Tm 0.2489 0.7500 0.4978 x2
8 Tm 0.3484 0.2500 0.2975 x2
9 Tm 0.4490 0.7500 0.0999 x2
10 Mg 0.0479 0.7500 0.9023 x2

(2)
First-principles (PBE) data for a relaxed structure of Er3TmMg4, as listed in Alexandria.

Energy of formation from the pure elements (eV per atom): 0.0907
Relative energy among the computed polymorphs (eV/f.u.): 1.26

abc: 3.2578 6.3354 21.6786
angles: 90.00 90.00 90.00
Space group Immm (No. 71)
Unique sites:
1 Er 0.0000 0.0000 0.0000 x2
2 Er 0.0000 0.5000 0.2368 x4
3 Tm 0.0000 0.0000 0.5000 x2
4 Mg 0.0000 0.2587 0.3746 x8

(3)
First-principles (PBE) data for a relaxed structure of Er2TmMg, as listed in Alexandria.

Energy of formation from the pure elements (eV per atom): -0.0218
Relative energy among the computed polymorphs (eV/f.u.): 0.02

abc: 3.5246 3.5246 9.2611
angles: 90.00 90.00 90.00
Space group P4/mmm (No. 123)
Unique sites:
1 Er 0.0000 0.0000 0.2400 x2
2 Tm 0.5000 0.5000 0.5000 x1
3 Mg 0.5000 0.5000 0.0000 x1

(4)
First-principles (PBE) data for a relaxed structure of Er6Tm3Mg, as listed in Alexandria.

Energy of formation from the pure elements (eV per atom): 0.1372
Relative energy among the computed polymorphs (eV/f.u.): 1.15

abc: 9.1518 15.0612 8.7595
angles: 90.00 90.00 90.00
Space group Cmc2_1 (No. 36)
Unique sites:
1 Er 0.0000 0.0579 0.0000 x4
2 Er 0.0000 0.2836 0.8874 x4
3 Er 0.1728 0.3497 0.4867 x8
4 Er 0.2386 0.0613 0.3159 x8
5 Tm 0.0000 0.4554 0.1260 x4
6 Tm 0.1777 0.1462 0.6460 x8
7 Mg 0.0000 0.2219 0.2482 x4

What did the fourth record say?
First-principles (PBE) data for a relaxed structure of Er6Tm3Mg, as listed in Alexandria.

Energy of formation from the pure elements (eV per atom): 0.1372
Relative energy among the computed polymorphs (eV/f.u.): 1.15

abc: 9.1518 15.0612 8.7595
angles: 90.00 90.00 90.00
Space group Cmc2_1 (No. 36)
Unique sites:
1 Er 0.0000 0.0579 0.0000 x4
2 Er 0.0000 0.2836 0.8874 x4
3 Er 0.1728 0.3497 0.4867 x8
4 Er 0.2386 0.0613 0.3159 x8
5 Tm 0.0000 0.4554 0.1260 x4
6 Tm 0.1777 0.1462 0.6460 x8
7 Mg 0.0000 0.2219 0.2482 x4

What did the first record say?
First-principles (PBE) data for a relaxed structure of Er6Tm3Mg, as listed in Alexandria.

Energy of formation from the pure elements (eV per atom): 0.0226
Relative energy among the computed polymorphs (eV/f.u.): 0.00

abc: 10.9646 4.9334 11.0149
angles: 90.00 90.24 90.00
Space group P2_1/m (No. 11)
Unique sites:
1 Er 0.0490 0.2500 0.4003 x2
2 Er 0.1491 0.7500 0.1964 x2
3 Er 0.1504 0.2500 0.6982 x2
4 Er 0.2478 0.2500 0.9991 x2
5 Er 0.3486 0.7500 0.8000 x2
6 Er 0.4492 0.2500 0.6020 x2
7 Tm 0.2489 0.7500 0.4978 x2
8 Tm 0.3484 0.2500 0.2975 x2
9 Tm 0.4490 0.7500 0.0999 x2
10 Mg 0.0479 0.7500 0.9023 x2

Q: Look up the relative energy among the computed polymorphs of the third one.
A: 0.02 eV/f.u.

Q: What is the relative energy among the computed polymorphs in the third record?
A: 0.02 eV/f.u.